Record 1
First-principles (GGA-PBE) data for an optimized crystal structure of Pm2ZrAl4Pt3, as listed in Alexandria.

Lattice parameters (Å, degrees): 4.2298 4.2298 11.2438 90.00 90.00 90.00
With the nearest neighbours (Å) after each atom.
Element x y z (fractional)
Pm 0.5000 0.0000 0.2407  8 Al 3.21-3.43, 4 Pt 3.26
Pm 0.0000 0.5000 0.7593  8 Al 3.21-3.43, 4 Pt 3.26
Zr 0.5000 0.5000 0.5000  4 Al 2.75, 4 Pt 2.99
Al 0.5000 0.5000 0.0000  4 Pt 2.54
Al 0.0000 0.0000 0.0000  4 Pt 2.54
Al 0.5000 0.0000 0.6561  3 Pt 2.46-2.75, 2 Zr 2.75
Al 0.0000 0.5000 0.3439  3 Pt 2.46-2.75, 2 Zr 2.75
Pt 0.0000 0.0000 0.5000  4 Al 2.75, 4 Zr 2.99
Pt 0.5000 0.0000 0.8752  5 Al 2.46-2.54
Pt 0.0000 0.5000 0.1248  5 Al 2.46-2.54

ΔE_f   -0.926 eV/atom
Density of states at the Fermi level   6.6 states/eV/cell
Magnetic moment   0.0 μB/cell



Record 2
First-principles (GGA-PBE) data for an optimized crystal structure of Li2CoRh, as listed in Alexandria.

Lattice parameters (Å, degrees): 9.1462 9.1462 9.1462 16.86 16.86 16.86
With the nearest neighbours (Å) after each atom.
Element x y z (fractional)
Co 0.7535 0.7535 0.7535  3 Rh 2.57, 3 Li 2.65, 6 Co 2.68
Li 0.0071 0.0071 0.0071  3 Co 2.65, 6 Li 2.68
Li 0.2432 0.2432 0.2432  3 Rh 2.67, 6 Li 2.68
Rh 0.4961 0.4961 0.4961  3 Co 2.57, 3 Li 2.67, 6 Rh 2.68

ΔE_f   0.072 eV/atom
Density of states at the Fermi level   3.8 states/eV/cell
Distance to the lowest polymorph of the same formula   109 meV per atom
Magnetic moment   2.5 μB/cell



Record 3
First-principles (GGA-PBE) data for an optimized crystal structure of HfCo2Ir2, as listed in Alexandria.

Lattice parameters (Å, degrees): 7.1393 7.1393 2.7883 90.00 90.00 90.00
With the nearest neighbours (Å) after each atom.
Element x y z (fractional)
Co 0.3805 0.8805 0.0000  1 Co 2.41, 6 Ir 2.49-2.56
Co 0.8805 0.6195 0.0000  1 Co 2.41, 6 Ir 2.49-2.56
Co 0.6195 0.1195 0.0000  1 Co 2.41, 6 Ir 2.49-2.56
Co 0.1195 0.3805 0.0000  1 Co 2.41, 6 Ir 2.49-2.56
Ir 0.1765 0.6765 0.5000  6 Co 2.49-2.56
Ir 0.6765 0.8235 0.5000  6 Co 2.49-2.56
Ir 0.8235 0.3235 0.5000  6 Co 2.49-2.56
Ir 0.3235 0.1765 0.5000  6 Co 2.49-2.56
Hf 0.0000 0.0000 0.0000  2 Hf 2.79, 4 Co 2.85, 8 Ir 2.98
Hf 0.5000 0.5000 0.0000  2 Hf 2.79, 4 Co 2.85, 8 Ir 2.98

ΔE_f   -0.233 eV/atom
Density of states at the Fermi level   15.8 states/eV/cell
Distance to the lowest polymorph of the same formula   0 meV per atom
Magnetic moment   4.1 μB/cell



Record 4
First-principles (GGA-PBE) data for an optimized crystal structure of Tm2Zn16Ni, as listed in Alexandria.

Lattice parameters (Å, degrees): 6.7355 6.7355 6.7355 82.66 82.66 82.66
With the nearest neighbours (Å) after each atom.
Element x y z (fractional)
Tm 0.6709 0.6709 0.6709  1 Ni 2.99, 15 Zn 3.16-3.27
Tm 0.3367 0.3367 0.3367  19 Zn 3.13-3.46
Zn 0.7067 0.9989 0.2914  8 Zn 2.54-2.77
Zn 0.9989 0.2914 0.7067  8 Zn 2.54-2.77
Zn 0.2914 0.7067 0.9989  8 Zn 2.54-2.77
Zn 0.9989 0.7067 0.2914  8 Zn 2.54-2.77
Zn 0.7067 0.2914 0.9989  8 Zn 2.54-2.77
Zn 0.2914 0.9989 0.7067  8 Zn 2.54-2.77
Zn 0.3560 0.8386 0.3560  8 Zn 2.54-2.77
Zn 0.8386 0.3560 0.3560  8 Zn 2.54-2.77
Zn 0.3560 0.3560 0.8386  8 Zn 2.54-2.77
Zn 0.6486 0.1555 0.6486  8 Zn 2.54-2.73, 1 Ni 2.81
Zn 0.1555 0.6486 0.6486  8 Zn 2.54-2.73, 1 Ni 2.81
Zn 0.6486 0.6486 0.1555  8 Zn 2.54-2.73, 1 Ni 2.81
Zn 0.9942 0.5100 0.9942  9 Zn 2.54-2.80, 1 Ni 2.63
Zn 0.5100 0.9942 0.9942  9 Zn 2.54-2.80, 1 Ni 2.63
Zn 0.9942 0.9942 0.5100  9 Zn 2.54-2.80, 1 Ni 2.63
Zn 0.0973 0.0973 0.0973  1 Ni 2.59, 6 Zn 2.80-2.89
Ni 0.8995 0.8995 0.8995  7 Zn 2.59-2.81

ΔE_f   -0.217 eV/atom
Density of states at the Fermi level   6.9 states/eV/cell
Magnetic moment   0.0 μB/cell